No. 1
A plane-wave DFT calculation with SCAN was carried out for ZnIrSe2 at its PBEsol-relaxed geometry.

Calculated values
For the uncorrected formation energy, the calculation gives 0.23 eV per atom. Its electronic total energy is -1.138 hartree per atom.

a b c (Å): 4.4952 4.4952 4.4952
angles (deg): 106.00 111.24 111.24
With the nearest neighbours (Å) after each atom.
Element x y z (fractional)
Zn  0.0000  0.0000  0.0000  4 Se 2.54, 2 Ir 2.71
Ir  0.0000  0.5000  0.5000  4 Se 2.54, 2 Zn 2.71
Se  0.5000  0.0000  0.5000  2 Zn 2.54, 2 Ir 2.54, 2 Se 2.71
Se  0.5000  0.5000  0.0000  2 Ir 2.54, 2 Zn 2.54, 2 Se 2.71

***

No. 2
A plane-wave DFT calculation with SCAN was carried out for ZnIr2Se at its PBEsol-relaxed geometry.

Calculated values
For the uncorrected formation energy, the calculation gives 0.36 eV per atom. The energy above the most stable polymorph in this dataset is 103 meV/atom. Its electronic total energy is -1.602 hartree per atom.

a b c (Å): 2.8051 4.4408 4.7881
angles (deg): 90.00 90.00 90.00
With the nearest neighbours (Å) after each atom.
Element x y z (fractional)
Se  0.5000  0.5000  0.0000  4 Ir 2.63, 4 Zn 2.77, 2 Se 2.81
Zn  0.0000  0.5000  0.5000  4 Ir 2.63, 4 Se 2.77, 2 Zn 2.81
Ir  0.0000  0.0000  0.0000  4 Se 2.63, 6 Ir 2.77-2.81
Ir  0.5000  0.0000  0.5000  4 Zn 2.63, 6 Ir 2.77-2.81

***

No. 3
A plane-wave DFT calculation with SCAN was carried out for ZnIrSe2 at its PBEsol-relaxed geometry.

Calculated values
For the uncorrected formation energy, the calculation gives -0.14 eV per atom. Its electronic total energy is -1.151 hartree per atom.

a b c (Å): 3.7246 3.7246 6.4255
angles (deg): 73.15 73.15 60.00
With the nearest neighbours (Å) after each atom.
Element x y z (fractional)
Ir  0.0000  0.0000  0.0000  6 Se 2.51
Se  0.2617  0.2617  0.2149  3 Ir 2.51, 3 Zn 2.76
Zn  0.5000  0.5000  0.5000  6 Se 2.76
Se  0.7383  0.7383  0.7851  3 Ir 2.51, 3 Zn 2.76